Entry i
A relaxed CoPb3S crystal, computed with PBE-GGA.

- Total magnetization: 0.0 μB/f.u.
- SG: Pm-3m, No. 221

a = 5.047 Å, b = 5.047 Å, c = 5.047 Å
α = 90.00°, β = 90.00°, γ = 90.00°
Fractional positions:
Co1 0.000 0.000 0.000
Pb1 0.000 0.000 0.500
Pb2 0.000 0.500 0.000
Pb3 0.500 0.000 0.000
S1 0.500 0.500 0.500

---

Entry ii
A relaxed CoPb3S crystal, computed with PBE-GGA.

- Total magnetization: 2.1 μB/f.u.
- SG: Pm-3m, No. 221

a = 5.482 Å, b = 5.482 Å, c = 5.482 Å
α = 90.00°, β = 90.00°, γ = 90.00°
Fractional positions:
Co1 0.000 0.000 0.000
Pb1 0.000 0.500 0.500
Pb2 0.500 0.000 0.500
Pb3 0.500 0.500 0.000
S1 0.500 0.500 0.500

---

entry i (671 meV/atom below the next structure)

---

Entry i
A relaxed Co2PbS crystal, computed with PBE-GGA.

- Total magnetization: 1.4 μB/f.u.
- SG: I-42d, No. 122

a = 4.566 Å, b = 4.566 Å, c = 13.900 Å
α = 90.00°, β = 90.00°, γ = 90.00°
Fractional positions:
Co1 0.098 0.250 0.125
Co2 0.250 0.598 0.375
Co3 0.250 0.902 0.875
Co4 0.402 0.250 0.625
Co5 0.598 0.750 0.625
Co6 0.750 0.098 0.875
Co7 0.750 0.402 0.375
Co8 0.902 0.750 0.125
Pb1 0.000 0.000 0.500
Pb2 0.000 0.500 0.750
Pb3 0.500 0.000 0.250
Pb4 0.500 0.500 0.000
S1 0.000 0.000 0.000
S2 0.000 0.500 0.250
S3 0.500 0.000 0.750
S4 0.500 0.500 0.500

---

Entry ii
A relaxed Co2PbS crystal, computed with PBE-GGA.

- Total magnetization: 2.6 μB/f.u.
- SG: Fm-3m, No. 225

a = 6.297 Å, b = 6.297 Å, c = 6.297 Å
α = 90.00°, β = 90.00°, γ = 90.00°
Fractional positions:
Co1 0.250 0.250 0.250
Co2 0.250 0.250 0.750
Co3 0.250 0.750 0.250
Co4 0.250 0.750 0.750
Co5 0.750 0.250 0.250
Co6 0.750 0.250 0.750
Co7 0.750 0.750 0.250
Co8 0.750 0.750 0.750
Pb1 0.000 0.000 0.000
Pb2 0.000 0.500 0.500
Pb3 0.500 0.000 0.500
Pb4 0.500 0.500 0.000
S1 0.000 0.000 0.500
S2 0.000 0.500 0.000
S3 0.500 0.000 0.000
S4 0.500 0.500 0.500

---

entry i (459 meV/atom below the next structure)

---

Entry i
A relaxed Co2Sb2Pb crystal, computed with PBE-GGA.

- Total magnetization: 1.1 μB/f.u.
- SG: P4/mbm, No. 127

a = 7.797 Å, b = 7.797 Å, c = 3.172 Å
α = 90.00°, β = 90.00°, γ = 90.00°
Fractional positions:
Co1 0.126 0.374 0.000
Co2 0.374 0.874 0.000
Co3 0.626 0.126 0.000
Co4 0.874 0.626 0.000
Sb1 0.150 0.650 0.500
Sb2 0.350 0.150 0.500
Sb3 0.650 0.850 0.500
Sb4 0.850 0.350 0.500
Pb1 0.000 0.000 0.000
Pb2 0.500 0.500 0.000

---

Entry ii
A relaxed Co2Sb2Pb crystal, computed with PBE-GGA.

- Total magnetization: 1.6 μB/f.u.
- SG: I4/mmm, No. 139

a = 4.626 Å, b = 4.626 Å, c = 9.735 Å
α = 90.00°, β = 90.00°, γ = 90.00°
Fractional positions:
Co1 0.000 0.000 0.121
Co2 0.000 0.000 0.879
Co3 0.500 0.500 0.379
Co4 0.500 0.500 0.621
Sb1 0.000 0.500 0.250
Sb2 0.000 0.500 0.750
Sb3 0.500 0.000 0.250
Sb4 0.500 0.000 0.750
Pb1 0.000 0.000 0.500
Pb2 0.500 0.500 0.000

---

entry i (43 meV/atom below the next structure)

---

Entry i
A relaxed CoSb3Pb crystal, computed with PBE-GGA.

- Total magnetization: 0.6 μB/f.u.
- SG: Pm-3m, No. 221

a = 5.057 Å, b = 5.057 Å, c = 5.057 Å
α = 90.00°, β = 90.00°, γ = 90.00°
Fractional positions:
Co1 0.000 0.000 0.000
Sb1 0.000 0.000 0.500
Sb2 0.000 0.500 0.000
Sb3 0.500 0.000 0.000
Pb1 0.500 0.500 0.500

---

Entry ii
A relaxed CoSb3Pb crystal, computed with PBE-GGA.

- Total magnetization: 1.9 μB/f.u.
- SG: Pm-3m, No. 221

a = 5.738 Å, b = 5.738 Å, c = 5.738 Å
α = 90.00°, β = 90.00°, γ = 90.00°
Fractional positions:
Co1 0.000 0.000 0.000
Sb1 0.000 0.500 0.500
Sb2 0.500 0.000 0.500
Sb3 0.500 0.500 0.000
Pb1 0.500 0.500 0.500

---

entry i (1323 meV/atom below the next structure)

---

Entry i
A relaxed Co3SbPb crystal, computed with PBE-GGA.

- Total magnetization: 3.9 μB/f.u.
- SG: Pm-3m, No. 221

a = 4.730 Å, b = 4.730 Å, c = 4.730 Å
α = 90.00°, β = 90.00°, γ = 90.00°
Fractional positions:
Co1 0.000 0.000 0.500
Co2 0.000 0.500 0.000
Co3 0.500 0.000 0.000
Sb1 0.000 0.000 0.000
Pb1 0.500 0.500 0.500

---

Entry ii
A relaxed Co3SbPb crystal, computed with PBE-GGA.

- Total magnetization: 3.5 μB/f.u.
- SG: Pm-3m, No. 221

a = 4.784 Å, b = 4.784 Å, c = 4.784 Å
α = 90.00°, β = 90.00°, γ = 90.00°
Fractional positions:
Co1 0.000 0.000 0.500
Co2 0.000 0.500 0.000
Co3 0.500 0.000 0.000
Sb1 0.500 0.500 0.500
Pb1 0.000 0.000 0.000

---

entry i (494 meV/atom below the next structure)

---

Entry i
A relaxed CoSb2TePb crystal, computed with PBE-GGA.

- Total magnetization: 2.1 μB/f.u.
- SG: P4/mmm, No. 123

a = 5.561 Å, b = 5.561 Å, c = 5.581 Å
α = 90.00°, β = 90.00°, γ = 90.00°
Fractional positions:
Co1 0.000 0.000 0.000
Sb1 0.000 0.500 0.500
Sb2 0.500 0.000 0.500
Te1 0.500 0.500 0.000
Pb1 0.500 0.500 0.500

---

Entry ii
A relaxed CoSb2TePb crystal, computed with PBE-GGA.

- Total magnetization: 0.0 μB/f.u.
- SG: P4/mmm, No. 123

a = 4.838 Å, b = 4.838 Å, c = 5.497 Å
α = 90.00°, β = 90.00°, γ = 90.00°
Fractional positions:
Co1 0.000 0.000 0.000
Sb1 0.000 0.500 0.000
Sb2 0.500 0.000 0.000
Te1 0.000 0.000 0.500
Pb1 0.500 0.500 0.500

---

Entry iii
A relaxed CoSb2TePb crystal, computed with PBE-GGA.

- Total magnetization: 2.1 μB/f.u.
- SG: P4/mmm, No. 123

a = 5.707 Å, b = 5.707 Å, c = 5.916 Å
α = 90.00°, β = 90.00°, γ = 90.00°
Fractional positions:
Co1 0.000 0.000 0.000
Sb1 0.000 0.500 0.500
Sb2 0.500 0.000 0.500
Te1 0.500 0.500 0.500
Pb1 0.500 0.500 0.000

---

entry ii (1122 meV/atom below the next structure)